Entry 1:
# Si23C4 (PBE, optimized geometry)
# crystal system: cubic
# theoretical density: 2.207 Mg/m³
# E: -4.918 eV per atom
data_Si23C4
_chemical_formula_sum 'Si46 C8'
_cell_length_a 10.146
_cell_length_b 10.146
_cell_length_c 10.146
_cell_angle_alpha 90.00
_cell_angle_beta 90.00
_cell_angle_gamma 90.00
_symmetry_space_group_name_H-M 'P 1'
_symmetry_Int_Tables_number 1
_symmetry_space_group_name_Hall 'P 1'
loop_
_atom_site_label
_atom_site_type_symbol
_atom_site_fract_x
_atom_site_fract_y
_atom_site_fract_z
_atom_site_occupancy
Si1 Si 0.000 0.116 0.310 1
Si2 Si 0.000 0.116 0.690 1
Si3 Si 0.000 0.250 0.500 1
Si4 Si 0.000 0.750 0.500 1
Si5 Si 0.000 0.884 0.310 1
Si6 Si 0.000 0.884 0.690 1
Si7 Si 0.116 0.310 0.000 1
Si8 Si 0.116 0.690 0.000 1
Si9 Si 0.182 0.182 0.182 1
Si10 Si 0.182 0.182 0.818 1
Si11 Si 0.182 0.818 0.182 1
Si12 Si 0.182 0.818 0.818 1
Si13 Si 0.190 0.384 0.500 1
Si14 Si 0.190 0.616 0.500 1
Si15 Si 0.250 0.500 0.000 1
Si16 Si 0.310 0.000 0.116 1
Si17 Si 0.310 0.000 0.884 1
Si18 Si 0.318 0.318 0.318 1
Si19 Si 0.318 0.318 0.682 1
Si20 Si 0.318 0.682 0.318 1
Si21 Si 0.318 0.682 0.682 1
Si22 Si 0.384 0.500 0.190 1
Si23 Si 0.384 0.500 0.810 1
Si24 Si 0.500 0.000 0.250 1
Si25 Si 0.500 0.000 0.750 1
Si26 Si 0.500 0.190 0.384 1
Si27 Si 0.500 0.190 0.616 1
Si28 Si 0.500 0.810 0.384 1
Si29 Si 0.500 0.810 0.616 1
Si30 Si 0.616 0.500 0.190 1
Si31 Si 0.616 0.500 0.810 1
Si32 Si 0.682 0.318 0.318 1
Si33 Si 0.682 0.318 0.682 1
Si34 Si 0.682 0.682 0.318 1
Si35 Si 0.682 0.682 0.682 1
Si36 Si 0.690 0.000 0.116 1
Si37 Si 0.690 0.000 0.884 1
Si38 Si 0.750 0.500 0.000 1
Si39 Si 0.810 0.384 0.500 1
Si40 Si 0.810 0.616 0.500 1
Si41 Si 0.818 0.182 0.182 1
Si42 Si 0.818 0.182 0.818 1
Si43 Si 0.818 0.818 0.182 1
Si44 Si 0.818 0.818 0.818 1
Si45 Si 0.884 0.310 0.000 1
Si46 Si 0.884 0.690 0.000 1
C1 C 0.000 0.000 0.000 1
C2 C 0.000 0.500 0.250 1
C3 C 0.000 0.500 0.750 1
C4 C 0.250 0.000 0.500 1
C5 C 0.500 0.250 0.000 1
C6 C 0.500 0.500 0.500 1
C7 C 0.500 0.750 0.000 1
C8 C 0.750 0.000 0.500 1

***

Entry 2:
# SiC (PBE, optimized geometry)
# distance to the lowest polymorph of the same formula: 0.707 eV per atom
# crystal system: tetragonal
# theoretical density: 3.631 Mg/m³
# E: -6.823 eV per atom
data_SiC
_chemical_formula_sum 'Si2 C2'
_cell_length_a 2.774
_cell_length_b 2.774
_cell_length_c 4.768
_cell_angle_alpha 90.00
_cell_angle_beta 90.00
_cell_angle_gamma 90.00
_symmetry_space_group_name_H-M 'P 1'
_symmetry_Int_Tables_number 1
_symmetry_space_group_name_Hall 'P 1'
loop_
_atom_site_label
_atom_site_type_symbol
_atom_site_fract_x
_atom_site_fract_y
_atom_site_fract_z
_atom_site_occupancy
Si1 Si 0.000 0.000 0.000 1
Si2 Si 0.500 0.500 0.500 1
C1 C 0.000 0.000 0.401 1
C2 C 0.500 0.500 0.901 1

***

Entry 3:
# SiC2 (PBE, optimized geometry)
# distance to the lowest polymorph of the same formula: 2.034 eV per atom
# crystal system: hexagonal
# theoretical density: 3.231 Mg/m³
# E: -5.591 eV per atom
data_SiC2
_chemical_formula_sum 'Si2 C4'
_cell_length_a 4.146
_cell_length_b 4.146
_cell_length_c 3.599
_cell_angle_alpha 90.00
_cell_angle_beta 90.00
_cell_angle_gamma 120.00
_symmetry_space_group_name_H-M 'P 1'
_symmetry_Int_Tables_number 1
_symmetry_space_group_name_Hall 'P 1'
loop_
_atom_site_label
_atom_site_type_symbol
_atom_site_fract_x
_atom_site_fract_y
_atom_site_fract_z
_atom_site_occupancy
Si1 Si 0.333 0.667 0.250 1
Si2 Si 0.667 0.333 0.750 1
C1 C 0.000 0.000 0.000 1
C2 C 0.000 0.000 0.500 1
C3 C 0.333 0.667 0.750 1
C4 C 0.667 0.333 0.250 1

***

Entry 4:
# SiC2 (PBE, optimized geometry)
# distance to the lowest polymorph of the same formula: 0.272 eV per atom
# crystal system: trigonal
# theoretical density: 3.229 Mg/m³
# E: -7.353 eV per atom
data_SiC2
_chemical_formula_sum 'Si3 C6'
_cell_length_a 2.917
_cell_length_b 2.917
_cell_length_c 10.911
_cell_angle_alpha 90.00
_cell_angle_beta 90.00
_cell_angle_gamma 120.00
_symmetry_space_group_name_H-M 'P 1'
_symmetry_Int_Tables_number 1
_symmetry_space_group_name_Hall 'P 1'
loop_
_atom_site_label
_atom_site_type_symbol
_atom_site_fract_x
_atom_site_fract_y
_atom_site_fract_z
_atom_site_occupancy
Si1 Si 0.000 0.000 0.000 1
Si2 Si 0.333 0.667 0.667 1
Si3 Si 0.667 0.333 0.333 1
C1 C 0.000 0.000 0.438 1
C2 C 0.000 0.000 0.562 1
C3 C 0.333 0.667 0.105 1
C4 C 0.333 0.667 0.229 1
C5 C 0.667 0.333 0.771 1
C6 C 0.667 0.333 0.895 1

***

Entry 5:
# SiC (PBE, optimized geometry)
# distance to the lowest polymorph of the same formula: 0.737 eV per atom
# crystal system: cubic
# theoretical density: 3.984 Mg/m³
# E: -6.792 eV per atom
data_SiC
_chemical_formula_sum 'Si4 C4'
_cell_length_a 4.059
_cell_length_b 4.059
_cell_length_c 4.059
_cell_angle_alpha 90.00
_cell_angle_beta 90.00
_cell_angle_gamma 90.00
_symmetry_space_group_name_H-M 'P 1'
_symmetry_Int_Tables_number 1
_symmetry_space_group_name_Hall 'P 1'
loop_
_atom_site_label
_atom_site_type_symbol
_atom_site_fract_x
_atom_site_fract_y
_atom_site_fract_z
_atom_site_occupancy
Si1 Si 0.000 0.000 0.000 1
Si2 Si 0.000 0.500 0.500 1
Si3 Si 0.500 0.000 0.500 1
Si4 Si 0.500 0.500 0.000 1
C1 C 0.000 0.000 0.500 1
C2 C 0.000 0.500 0.000 1
C3 C 0.500 0.000 0.000 1
C4 C 0.500 0.500 0.500 1

***

Entry 6:
# SiC2 (PBE, optimized geometry)
# distance to the lowest polymorph of the same formula: 1.512 eV per atom
# crystal system: tetragonal
# theoretical density: 2.844 Mg/m³
# E: -6.113 eV per atom
data_SiC2
_chemical_formula_sum 'Si2 C4'
_cell_length_a 4.532
_cell_length_b 4.532
_cell_length_c 2.963
_cell_angle_alpha 90.00
_cell_angle_beta 90.00
_cell_angle_gamma 90.00
_symmetry_space_group_name_H-M 'P 1'
_symmetry_Int_Tables_number 1
_symmetry_space_group_name_Hall 'P 1'
loop_
_atom_site_label
_atom_site_type_symbol
_atom_site_fract_x
_atom_site_fract_y
_atom_site_fract_z
_atom_site_occupancy
Si1 Si 0.000 0.000 0.000 1
Si2 Si 0.500 0.500 0.500 1
C1 C 0.206 0.206 0.500 1
C2 C 0.294 0.706 0.000 1
C3 C 0.706 0.294 0.000 1
C4 C 0.794 0.794 0.500 1

***

Entry 7:
# Si2C (PBE, optimized geometry)
# distance to the lowest polymorph of the same formula: 0.924 eV per atom
# crystal system: tetragonal
# theoretical density: 3.388 Mg/m³
# E: -5.419 eV per atom
data_Si2C
_chemical_formula_sum 'Si8 C4'
_cell_length_a 2.750
_cell_length_b 2.750
_cell_length_c 17.676
_cell_angle_alpha 90.00
_cell_angle_beta 90.00
_cell_angle_gamma 90.00
_symmetry_space_group_name_H-M 'P 1'
_symmetry_Int_Tables_number 1
_symmetry_space_group_name_Hall 'P 1'
loop_
_atom_site_label
_atom_site_type_symbol
_atom_site_fract_x
_atom_site_fract_y
_atom_site_fract_z
_atom_site_occupancy
Si1 Si 0.000 0.250 0.310 1
Si2 Si 0.000 0.250 0.440 1
Si3 Si 0.000 0.750 0.560 1
Si4 Si 0.000 0.750 0.690 1
Si5 Si 0.500 0.250 0.060 1
Si6 Si 0.500 0.250 0.190 1
Si7 Si 0.500 0.750 0.810 1
Si8 Si 0.500 0.750 0.940 1
C1 C 0.000 0.250 0.875 1
C2 C 0.000 0.750 0.125 1
C3 C 0.500 0.250 0.625 1
C4 C 0.500 0.750 0.375 1

***

Entry 8:
# SiC2 (PBE, optimized geometry)
# distance to the lowest polymorph of the same formula: 0.442 eV per atom
# crystal system: orthorhombic
# theoretical density: 3.511 Mg/m³
# E: -7.184 eV per atom
data_SiC2
_chemical_formula_sum 'Si2 C4'
_cell_length_a 2.596
_cell_length_b 5.650
_cell_length_c 3.361
_cell_angle_alpha 90.00
_cell_angle_beta 90.00
_cell_angle_gamma 90.00
_symmetry_space_group_name_H-M 'P 1'
_symmetry_Int_Tables_number 1
_symmetry_space_group_name_Hall 'P 1'
loop_
_atom_site_label
_atom_site_type_symbol
_atom_site_fract_x
_atom_site_fract_y
_atom_site_fract_z
_atom_site_occupancy
Si1 Si 0.000 0.000 0.000 1
Si2 Si 0.500 0.500 0.000 1
C1 C 0.250 0.250 0.630 1
C2 C 0.250 0.750 0.370 1
C3 C 0.750 0.250 0.370 1
C4 C 0.750 0.750 0.630 1

***

Fermi-level density of states list, top to bottom, in states/eV/atom: 0.730; 0.257; 0.509; 0.279; 0.084; 0.336; 0.439; 0.061
Calculated volume list, top to bottom, in Å³/cell: 1044.5; 36.7; 53.6; 80.4; 66.9; 60.9; 133.7; 49.3
Formation energy without anion corrections list, top to bottom, in eV per atom: 1.068; 0.501; 2.366; 0.603; 0.531; 1.844; 1.271; 0.773